(1)
# LaErMg2, optimized geometry, DFT PBE
data_LaErMg2
_cell_length_a 3.4446
_cell_length_b 3.4446
_cell_length_c 34.1464
_cell_angle_alpha 90.00
_cell_angle_beta 90.00
_cell_angle_gamma 120.00
_symmetry_space_group_name_H-M 'R 3 m'
_symmetry_Int_Tables_number 160
_symmetry_space_group_name_Hall 'R 3 -2"'
loop_
_atom_site_label
_atom_site_type_symbol
_atom_site_fract_x
_atom_site_fract_y
_atom_site_fract_z
_atom_site_occupancy
La1 La 0.0000 0.0000 0.0000 1
Er1 Er 0.0000 0.0000 0.1687 1
Mg1 Mg 0.0000 0.0000 0.4213 1
Mg2 Mg 0.0000 0.0000 0.5811 1
# Total moment   0.0 Bohr magnetons per cell
# Formation enthalpy at 0 K   4.76 kJ per mole of atoms


(2)
# La3Er2Mg, optimized geometry, DFT PBE
data_La3Er2Mg
_cell_length_a 3.788
_cell_length_b 17.397
_cell_length_c 11.932
_cell_angle_alpha 90.00
_cell_angle_beta 90.00
_cell_angle_gamma 90.00
_symmetry_space_group_name_H-M 'C m m m'
_symmetry_Int_Tables_number 65
_symmetry_space_group_name_Hall '-C 2 2'
loop_
_atom_site_label
_atom_site_type_symbol
_atom_site_fract_x
_atom_site_fract_y
_atom_site_fract_z
_atom_site_occupancy
La1 La 0.000 0.000 0.235 1
La2 La 0.000 0.333 0.263 1
Er1 Er 0.000 0.166 0.000 1
Er2 Er 0.000 0.500 0.000 1
Er3 Er 0.000 0.500 0.500 1
Mg1 Mg 0.000 0.172 0.500 1
# Total moment   0.0 Bohr magnetons per cell
# Formation enthalpy at 0 K   7.70 kJ per mole of atoms


(3)
# LaEr2Mg9, optimized geometry, DFT PBE
data_LaEr2Mg9
_cell_length_a 6.0532
_cell_length_b 6.0532
_cell_length_c 29.3963
_cell_angle_alpha 90.00
_cell_angle_beta 90.00
_cell_angle_gamma 120.00
_symmetry_space_group_name_H-M 'R -3 m'
_symmetry_Int_Tables_number 166
_symmetry_space_group_name_Hall '-R 3 2"'
loop_
_atom_site_label
_atom_site_type_symbol
_atom_site_fract_x
_atom_site_fract_y
_atom_site_fract_z
_atom_site_occupancy
La1 La 0.0000 0.0000 0.0000 1
Er1 Er 0.0000 0.0000 0.1456 1
Mg1 Mg 0.0000 0.0000 0.3342 1
Mg2 Mg 0.0000 0.0000 0.5000 1
Mg3 Mg 0.0055 0.5027 0.9148 1
# Total moment   0.0 Bohr magnetons per cell
# Formation enthalpy at 0 K   -5.80 kJ per mole of atoms


(4)
# La8Er6Mg, optimized geometry, DFT PBE
data_La8Er6Mg
_cell_length_a 9.3430
_cell_length_b 9.3430
_cell_length_c 6.6800
_cell_angle_alpha 90.00
_cell_angle_beta 90.00
_cell_angle_gamma 120.00
_symmetry_space_group_name_H-M 'P -3'
_symmetry_Int_Tables_number 147
_symmetry_space_group_name_Hall '-P 3'
loop_
_atom_site_label
_atom_site_type_symbol
_atom_site_fract_x
_atom_site_fract_y
_atom_site_fract_z
_atom_site_occupancy
La1 La 0.0467 0.7618 0.1704 1
La2 La 0.3333 0.6667 0.1267 1
Er1 Er 0.1010 0.6581 0.6525 1
Mg1 Mg 0.0000 0.0000 0.5000 1
# Total moment   0.0 Bohr magnetons per cell
# Formation enthalpy at 0 K   12.64 kJ per mole of atoms


(5)
# LaErMg17, optimized geometry, DFT PBE
data_LaErMg17
_cell_length_a 10.2701
_cell_length_b 10.2701
_cell_length_c 15.2571
_cell_angle_alpha 90.00
_cell_angle_beta 90.00
_cell_angle_gamma 120.00
_symmetry_space_group_name_H-M 'R 3 m'
_symmetry_Int_Tables_number 160
_symmetry_space_group_name_Hall 'R 3 -2"'
loop_
_atom_site_label
_atom_site_type_symbol
_atom_site_fract_x
_atom_site_fract_y
_atom_site_fract_z
_atom_site_occupancy
La1 La 0.0000 0.0000 0.0000 1
Er1 Er 0.0000 0.0000 0.3405 1
Mg1 Mg 0.0000 0.0000 0.5681 1
Mg2 Mg 0.0000 0.0000 0.7658 1
Mg3 Mg 0.0005 0.5002 0.8192 1
Mg4 Mg 0.0320 0.3630 0.3352 1
Mg5 Mg 0.1689 0.3379 0.5031 1
Mg6 Mg 0.1746 0.3492 0.8495 1
# Total moment   0.0 Bohr magnetons per cell
# Formation enthalpy at 0 K   -3.65 kJ per mole of atoms


(6)
# La2ErMg6, optimized geometry, DFT PBE
data_La2ErMg6
_cell_length_a 9.2221
_cell_length_b 9.2221
_cell_length_c 3.3653
_cell_angle_alpha 90.00
_cell_angle_beta 90.00
_cell_angle_gamma 120.00
_symmetry_space_group_name_H-M 'P 6/m m m'
_symmetry_Int_Tables_number 191
_symmetry_space_group_name_Hall '-P 6 2'
loop_
_atom_site_label
_atom_site_type_symbol
_atom_site_fract_x
_atom_site_fract_y
_atom_site_fract_z
_atom_site_occupancy
La1 La 0.3333 0.6667 0.0000 1
Er1 Er 0.0000 0.0000 0.0000 1
Mg1 Mg 0.0000 0.3270 0.5000 1
# Total moment   0.0 Bohr magnetons per cell
# Formation enthalpy at 0 K   -8.74 kJ per mole of atoms


(7)
# LaErMg2, optimized geometry, DFT PBE
data_LaErMg2
_cell_length_a 5.427
_cell_length_b 5.427
_cell_length_c 3.904
_cell_angle_alpha 90.00
_cell_angle_beta 90.00
_cell_angle_gamma 90.00
_symmetry_space_group_name_H-M 'P 4/m m m'
_symmetry_Int_Tables_number 123
_symmetry_space_group_name_Hall '-P 4 2'
loop_
_atom_site_label
_atom_site_type_symbol
_atom_site_fract_x
_atom_site_fract_y
_atom_site_fract_z
_atom_site_occupancy
La1 La 0.000 0.000 0.000 1
Er1 Er 0.500 0.500 0.000 1
Mg1 Mg 0.000 0.500 0.500 1
# Total moment   0.0 Bohr magnetons per cell
# Formation enthalpy at 0 K   -7.79 kJ per mole of atoms


(8)
# La2ErMg5, optimized geometry, DFT PBE
data_La2ErMg5
_cell_length_a 5.239
_cell_length_b 5.239
_cell_length_c 16.204
_cell_angle_alpha 90.00
_cell_angle_beta 90.00
_cell_angle_gamma 90.00
_symmetry_space_group_name_H-M 'I 4/m m m'
_symmetry_Int_Tables_number 139
_symmetry_space_group_name_Hall '-I 4 2'
loop_
_atom_site_label
_atom_site_type_symbol
_atom_site_fract_x
_atom_site_fract_y
_atom_site_fract_z
_atom_site_occupancy
La1 La 0.000 0.000 0.241 1
Er1 Er 0.000 0.000 0.500 1
Mg1 Mg 0.000 0.000 0.000 1
Mg2 Mg 0.000 0.500 0.111 1
# Total moment   0.0 Bohr magnetons per cell
# Formation enthalpy at 0 K   -6.83 kJ per mole of atoms


(9)
# La7Er4Mg, optimized geometry, DFT PBE
data_La7Er4Mg
_cell_length_a 13.544
_cell_length_b 5.940
_cell_length_c 11.476
_cell_angle_alpha 90.00
_cell_angle_beta 112.80
_cell_angle_gamma 90.00
_symmetry_space_group_name_H-M 'C 1 2/m 1'
_symmetry_Int_Tables_number 12
_symmetry_space_group_name_Hall '-C 2y'
loop_
_atom_site_label
_atom_site_type_symbol
_atom_site_fract_x
_atom_site_fract_y
_atom_site_fract_z
_atom_site_occupancy
La1 La 0.000 0.000 0.000 1
La2 La 0.055 0.500 0.321 1
La3 La 0.169 0.000 0.530 1
La4 La 0.215 0.500 0.993 1
Er1 Er 0.065 0.000 0.755 1
Er2 Er 0.236 0.000 0.272 1
Mg1 Mg 0.000 0.500 0.000 1
# Total moment   0.0 Bohr magnetons per cell
# Formation enthalpy at 0 K   31.30 kJ per mole of atoms


(10)
# LaEr2Mg6, optimized geometry, DFT PBE
data_LaEr2Mg6
_cell_length_a 9.1254
_cell_length_b 9.1254
_cell_length_c 3.3231
_cell_angle_alpha 90.00
_cell_angle_beta 90.00
_cell_angle_gamma 120.00
_symmetry_space_group_name_H-M 'P 6/m m m'
_symmetry_Int_Tables_number 191
_symmetry_space_group_name_Hall '-P 6 2'
loop_
_atom_site_label
_atom_site_type_symbol
_atom_site_fract_x
_atom_site_fract_y
_atom_site_fract_z
_atom_site_occupancy
La1 La 0.0000 0.0000 0.0000 1
Er1 Er 0.3333 0.6667 0.0000 1
Mg1 Mg 0.0000 0.3384 0.5000 1
# Total moment   0.1 Bohr magnetons per cell
# Formation enthalpy at 0 K   -6.90 kJ per mole of atoms


(11)
# La3Er2Mg3, optimized geometry, DFT PBE
data_La3Er2Mg3
_cell_length_a 3.817
_cell_length_b 5.652
_cell_length_c 22.932
_cell_angle_alpha 90.00
_cell_angle_beta 90.00
_cell_angle_gamma 90.00
_symmetry_space_group_name_H-M 'I m m m'
_symmetry_Int_Tables_number 71
_symmetry_space_group_name_Hall '-I 2 2'
loop_
_atom_site_label
_atom_site_type_symbol
_atom_site_fract_x
_atom_site_fract_y
_atom_site_fract_z
_atom_site_occupancy
La1 La 0.000 0.000 0.000 1
La2 La 0.000 0.500 0.127 1
Er1 Er 0.000 0.000 0.236 1
Mg1 Mg 0.000 0.000 0.500 1
Mg2 Mg 0.000 0.500 0.378 1
# Total moment   0.0 Bohr magnetons per cell
# Formation enthalpy at 0 K   -6.71 kJ per mole of atoms


(12)
# La3ErMg2, optimized geometry, DFT PBE
data_La3ErMg2
_cell_length_a 3.912
_cell_length_b 3.912
_cell_length_c 12.651
_cell_angle_alpha 90.00
_cell_angle_beta 90.00
_cell_angle_gamma 90.00
_symmetry_space_group_name_H-M 'P 4/m m m'
_symmetry_Int_Tables_number 123
_symmetry_space_group_name_Hall '-P 4 2'
loop_
_atom_site_label
_atom_site_type_symbol
_atom_site_fract_x
_atom_site_fract_y
_atom_site_fract_z
_atom_site_occupancy
La1 La 0.000 0.000 0.000 1
La2 La 0.000 0.000 0.316 1
Er1 Er 0.500 0.500 0.500 1
Mg1 Mg 0.500 0.500 0.159 1
# Total moment   0.0 Bohr magnetons per cell
# Formation enthalpy at 0 K   -4.83 kJ per mole of atoms


(13)
# La4ErMg3, optimized geometry, DFT PBE
data_La4ErMg3
_cell_length_a 3.913
_cell_length_b 3.913
_cell_length_c 16.706
_cell_angle_alpha 90.00
_cell_angle_beta 90.00
_cell_angle_gamma 90.00
_symmetry_space_group_name_H-M 'P 4/m m m'
_symmetry_Int_Tables_number 123
_symmetry_space_group_name_Hall '-P 4 2'
loop_
_atom_site_label
_atom_site_type_symbol
_atom_site_fract_x
_atom_site_fract_y
_atom_site_fract_z
_atom_site_occupancy
La1 La 0.000 0.000 0.120 1
La2 La 0.000 0.000 0.360 1
Er1 Er 0.500 0.500 0.500 1
Mg1 Mg 0.500 0.500 0.000 1
Mg2 Mg 0.500 0.500 0.241 1
# Total moment   0.0 Bohr magnetons per cell
# Formation enthalpy at 0 K   -6.45 kJ per mole of atoms


(14)
# La2ErMg9, optimized geometry, DFT PBE
data_La2ErMg9
_cell_length_a 6.1031
_cell_length_b 6.1031
_cell_length_c 29.7080
_cell_angle_alpha 90.00
_cell_angle_beta 90.00
_cell_angle_gamma 120.00
_symmetry_space_group_name_H-M 'R -3 m'
_symmetry_Int_Tables_number 166
_symmetry_space_group_name_Hall '-R 3 2"'
loop_
_atom_site_label
_atom_site_type_symbol
_atom_site_fract_x
_atom_site_fract_y
_atom_site_fract_z
_atom_site_occupancy
La1 La 0.0000 0.0000 0.1419 1
Er1 Er 0.0000 0.0000 0.0000 1
Mg1 Mg 0.0000 0.0000 0.3339 1
Mg2 Mg 0.0000 0.0000 0.5000 1
Mg3 Mg 0.0028 0.5014 0.9181 1
# Total moment   0.0 Bohr magnetons per cell
# Formation enthalpy at 0 K   -4.27 kJ per mole of atoms


(15)
# La3Er4Mg, optimized geometry, DFT PBE
data_La3Er4Mg
_cell_length_a 3.551
_cell_length_b 11.752
_cell_length_c 12.686
_cell_angle_alpha 90.00
_cell_angle_beta 90.00
_cell_angle_gamma 90.00
_symmetry_space_group_name_H-M 'I m m m'
_symmetry_Int_Tables_number 71
_symmetry_space_group_name_Hall '-I 2 2'
loop_
_atom_site_label
_atom_site_type_symbol
_atom_site_fract_x
_atom_site_fract_y
_atom_site_fract_z
_atom_site_occupancy
La1 La 0.000 0.000 0.000 1
La2 La 0.000 0.500 0.236 1
Er1 Er 0.000 0.244 0.366 1
Mg1 Mg 0.000 0.000 0.500 1
# Total moment   0.0 Bohr magnetons per cell
# Formation enthalpy at 0 K   9.17 kJ per mole of atoms


(16)
# La5ErMg6, optimized geometry, DFT PBE
data_La5ErMg6
_cell_length_a 5.546
_cell_length_b 7.888
_cell_length_c 8.778
_cell_angle_alpha 90.00
_cell_angle_beta 108.35
_cell_angle_gamma 90.00
_symmetry_space_group_name_H-M 'P 1 2/m 1'
_symmetry_Int_Tables_number 10
_symmetry_space_group_name_Hall '-P 2y'
loop_
_atom_site_label
_atom_site_type_symbol
_atom_site_fract_x
_atom_site_fract_y
_atom_site_fract_z
_atom_site_occupancy
La1 La 0.000 0.000 0.000 1
La2 La 0.330 0.000 0.660 1
La3 La 0.336 0.500 0.671 1
Er1 Er 0.000 0.500 0.000 1
Mg1 Mg 0.163 0.257 0.327 1
Mg2 Mg 0.500 0.255 0.000 1
# Total moment   0.0 Bohr magnetons per cell
# Formation enthalpy at 0 K   -10.13 kJ per mole of atoms


(17)
# La2ErMg2, optimized geometry, DFT PBE
data_La2ErMg2
_cell_length_a 3.827
_cell_length_b 5.543
_cell_length_c 14.581
_cell_angle_alpha 90.00
_cell_angle_beta 97.55
_cell_angle_gamma 90.00
_symmetry_space_group_name_H-M 'P 1 21/m 1'
_symmetry_Int_Tables_number 11
_symmetry_space_group_name_Hall '-P 2yb'
loop_
_atom_site_label
_atom_site_type_symbol
_atom_site_fract_x
_atom_site_fract_y
_atom_site_fract_z
_atom_site_occupancy
La1 La 0.043 0.250 0.085 1
La2 La 0.236 0.250 0.473 1
Er1 Er 0.152 0.750 0.302 1
Mg1 Mg 0.361 0.750 0.722 1
Mg2 Mg 0.441 0.250 0.882 1
# Total moment   0.0 Bohr magnetons per cell
# Formation enthalpy at 0 K   -5.00 kJ per mole of atoms


(18)
# La2Er8Mg, optimized geometry, DFT PBE
data_La2Er8Mg
_cell_length_a 18.607
_cell_length_b 6.832
_cell_length_c 5.686
_cell_angle_alpha 90.00
_cell_angle_beta 91.93
_cell_angle_gamma 90.00
_symmetry_space_group_name_H-M 'C 1 2/m 1'
_symmetry_Int_Tables_number 12
_symmetry_space_group_name_Hall '-C 2y'
loop_
_atom_site_label
_atom_site_type_symbol
_atom_site_fract_x
_atom_site_fract_y
_atom_site_fract_z
_atom_site_occupancy
La1 La 0.220 0.000 0.255 1
Er1 Er 0.049 0.000 0.235 1
Er2 Er 0.123 0.237 0.741 1
Er3 Er 0.172 0.500 0.234 1
Mg1 Mg 0.000 0.500 0.000 1
# Total moment   0.0 Bohr magnetons per cell
# Formation enthalpy at 0 K   15.83 kJ per mole of atoms


(19)
# La3ErMg, optimized geometry, DFT PBE
data_La3ErMg
_cell_length_a 17.139
_cell_length_b 5.588
_cell_length_c 7.043
_cell_angle_alpha 90.00
_cell_angle_beta 92.00
_cell_angle_gamma 90.00
_symmetry_space_group_name_H-M 'C 1 m 1'
_symmetry_Int_Tables_number 8
_symmetry_space_group_name_Hall 'C -2y'
loop_
_atom_site_label
_atom_site_type_symbol
_atom_site_fract_x
_atom_site_fract_y
_atom_site_fract_z
_atom_site_occupancy
La1 La 0.000 0.000 0.000 1
La2 La 0.016 0.000 0.525 1
La3 La 0.118 0.500 0.258 1
La4 La 0.211 0.000 0.920 1
La5 La 0.305 0.500 0.605 1
La6 La 0.398 0.000 0.267 1
Er1 Er 0.105 0.500 0.766 1
Er2 Er 0.411 0.000 0.759 1
Mg1 Mg 0.213 0.000 0.429 1
Mg2 Mg 0.303 0.500 0.096 1
# Total moment   0.0 Bohr magnetons per cell
# Formation enthalpy at 0 K   -0.19 kJ per mole of atoms


(20)
# La5ErMg4, optimized geometry, DFT PBE
data_La5ErMg4
_cell_length_a 3.924
_cell_length_b 3.924
_cell_length_c 20.672
_cell_angle_alpha 90.00
_cell_angle_beta 90.00
_cell_angle_gamma 90.00
_symmetry_space_group_name_H-M 'P 4/m m m'
_symmetry_Int_Tables_number 123
_symmetry_space_group_name_Hall '-P 4 2'
loop_
_atom_site_label
_atom_site_type_symbol
_atom_site_fract_x
_atom_site_fract_y
_atom_site_fract_z
_atom_site_occupancy
La1 La 0.000 0.000 0.000 1
La2 La 0.000 0.000 0.194 1
La3 La 0.000 0.000 0.388 1
Er1 Er 0.500 0.500 0.500 1
Mg1 Mg 0.500 0.500 0.097 1
Mg2 Mg 0.500 0.500 0.292 1
# Total moment   0.0 Bohr magnetons per cell
# Formation enthalpy at 0 K   -7.31 kJ per mole of atoms


(21)
# La6ErMg5, optimized geometry, DFT PBE
data_La6ErMg5
_cell_length_a 5.634
_cell_length_b 7.933
_cell_length_c 8.950
_cell_angle_alpha 90.00
_cell_angle_beta 108.36
_cell_angle_gamma 90.00
_symmetry_space_group_name_H-M 'P 1 2/m 1'
_symmetry_Int_Tables_number 10
_symmetry_space_group_name_Hall '-P 2y'
loop_
_atom_site_label
_atom_site_type_symbol
_atom_site_fract_x
_atom_site_fract_y
_atom_site_fract_z
_atom_site_occupancy
La1 La 0.000 0.240 0.000 1
La2 La 0.332 0.247 0.662 1
Er1 Er 0.500 0.500 0.000 1
Mg1 Mg 0.160 0.500 0.323 1
Mg2 Mg 0.166 0.000 0.334 1
Mg3 Mg 0.500 0.000 0.000 1
# Total moment   0.0 Bohr magnetons per cell
# Formation enthalpy at 0 K   -6.91 kJ per mole of atoms


(22)
# La7Er3Mg, optimized geometry, DFT PBE
data_La7Er3Mg
_cell_length_a 11.574
_cell_length_b 10.449
_cell_length_c 6.548
_cell_angle_alpha 90.00
_cell_angle_beta 92.21
_cell_angle_gamma 90.00
_symmetry_space_group_name_H-M 'C 1 2/m 1'
_symmetry_Int_Tables_number 12
_symmetry_space_group_name_Hall '-C 2y'
loop_
_atom_site_label
_atom_site_type_symbol
_atom_site_fract_x
_atom_site_fract_y
_atom_site_fract_z
_atom_site_occupancy
La1 La 0.000 0.000 0.000 1
La2 La 0.235 0.173 0.264 1
La3 La 0.241 0.500 0.207 1
Er1 Er 0.000 0.339 0.000 1
Er2 Er 0.000 0.500 0.500 1
Mg1 Mg 0.000 0.000 0.500 1
# Total moment   0.0 Bohr magnetons per cell
# Formation enthalpy at 0 K   21.28 kJ per mole of atoms


| no. | E_tot (hartree per atom) |
| --- | --- |
| 1 | -0.115 |
| 2 | -0.153 |
| 3 | -0.089 |
| 4 | -0.163 |
| 5 | -0.072 |
| 6 | -0.101 |
| 7 | -0.119 |
| 8 | -0.105 |
| 9 | -0.154 |
| 10 | -0.099 |
| 11 | -0.134 |
| 12 | -0.140 |
| 13 | -0.136 |
| 14 | -0.090 |
| 15 | -0.156 |
| 16 | -0.123 |
| 17 | -0.131 |
| 18 | -0.154 |
| 19 | -0.154 |
| 20 | -0.134 |
| 21 | -0.132 |
| 22 | -0.158 |